Density functional theory data (GGA-PBE) for crystalline Tb12Tm6Mg at its relaxed geometry.

Output
* ΔH_f (0 K): 0.14 eV/atom
* size of the total moment: 0.00 μB per cell
* symmetry: R-3 (148)
* excess energy over the best structure of this formula in the dataset: 0.0 meV per atom
* V: 602.4 Å³ per cell
* crystal system: trigonal

Cell and atoms, written as POSCAR:
```
Tb12Tm6Mg
1.0
8.379 0.691 0.827
-0.588 8.386 0.827
-0.588 -0.685 8.399
Tb Tm Mg
12 6 1
direct
0.781 0.539 0.433
0.433 0.781 0.539
0.539 0.433 0.781
0.219 0.461 0.567
0.567 0.219 0.461
0.461 0.567 0.219
0.014 0.183 0.365
0.817 0.635 0.986
0.635 0.986 0.817
0.986 0.817 0.635
0.183 0.365 0.014
0.365 0.014 0.183
0.739 0.901 0.291
0.709 0.261 0.099
0.099 0.709 0.261
0.261 0.099 0.709
0.291 0.739 0.901
0.901 0.291 0.739
0.000 0.000 0.000
```

***

Density functional theory data (GGA-PBE) for crystalline Tb6TmMg at its relaxed geometry.

Output
* ΔH_f (0 K): 0.02 eV/atom
* size of the total moment: 0.00 μB per cell
* symmetry: C2/m (12)
* excess energy over the best structure of this formula in the dataset: 0.0 meV per atom
* V: 245.1 Å³ per cell
* crystal system: monoclinic

Cell and atoms, written as POSCAR:
```
Tb6TmMg
1.0
4.823 0.000 1.317
2.224 5.472 1.344
0.057 -0.126 9.285
Tb Tm Mg
6 1 1
direct
0.250 0.873 0.627
0.501 0.248 0.749
0.246 0.384 0.124
0.499 0.752 0.251
0.750 0.127 0.373
0.754 0.616 0.876
0.000 0.500 0.500
0.000 0.000 0.000
```

***

Density functional theory data (GGA-PBE) for crystalline Tb3Tm4Mg4 at its relaxed geometry.

Output
* ΔH_f (0 K): 0.11 eV/atom
* size of the total moment: 0.00 μB per cell
* symmetry: Immm (71)
* V: 320.9 Å³ per cell
* crystal system: orthorhombic

Cell and atoms, written as POSCAR:
```
Tb3Tm4Mg4
1.0
5.409 0.000 0.000
0.000 6.880 0.000
-2.704 -3.440 8.624
Tb Tm Mg
3 4 4
direct
0.109 0.109 0.217
0.891 0.891 0.783
0.000 0.500 0.000
0.314 0.074 0.627
0.686 0.446 0.373
0.686 0.926 0.373
0.314 0.554 0.627
0.171 0.671 0.341
0.829 0.329 0.659
0.500 0.782 0.000
0.500 0.218 0.000
```